Entry 1:
# NaSn2Au

A relaxed NaSn2Au crystal (PBE, Alexandria via LeMat-Bulk).

Cell and atoms, written as POSCAR:
```
NaSn2Au
1.0
4.5490 0.0000 0.0000
2.2745 3.9395 0.0000
2.2745 1.3132 6.1565
Na Sn Au
1 2 1
Direct
0.4965 0.4965 0.5104
0.0589 0.0589 0.8233
0.2754 0.2754 0.1738
0.6692 0.6692 0.9925
```

Output
Formation energy: -0.21 eV per atom
Symmetry: R3m, No. 160
M_tot: 0.000 μB per atom
V: 110.33 Å³ per cell
Total DFT energy (no corrections): -3.3646 eV per atom
Crystal system: trigonal



Entry 2:
# AgIr2W

A relaxed AgIr2W crystal (PBE, Alexandria via LeMat-Bulk).

Cell and atoms, written as POSCAR:
```
AgIr2W
1.0
4.7212 0.0000 0.0000
0.0000 4.7212 0.0000
0.0000 0.0000 2.8338
Ir Ag W
2 1 1
Direct
0.0000 0.0000 0.0000
0.5000 0.5000 0.0000
0.0000 0.5000 0.5000
0.5000 0.0000 0.5000
```

Output
Formation energy: 0.41 eV per atom
Symmetry: P4/mmm, No. 123
M_tot: 0.000 μB per atom
V: 63.16 Å³ per cell
Energy relative to the lowest polymorph listed for this composition: 402 meV/atom
Total DFT energy (no corrections): -7.9764 eV per atom
Crystal system: tetragonal



Entry 3:
# LiCdHg2H

A relaxed LiCdHg2H crystal (PBE, Alexandria via LeMat-Bulk).

Cell and atoms, written as POSCAR:
```
LiCdHg2H
1.0
5.1391 0.0000 0.0000
0.0000 5.1391 0.0000
0.0000 0.0000 3.4779
H Li Hg Cd
1 1 2 1
Direct
0.0000 0.0000 0.0000
0.0000 0.0000 0.5000
0.0000 0.5000 0.0000
0.5000 0.0000 0.0000
0.5000 0.5000 0.5000
```

Output
Symmetry: P4/mmm, No. 123
M_tot: 0.000 μB per atom
V: 91.85 Å³ per cell
Total DFT energy (no corrections): -1.3650 eV per atom
Crystal system: tetragonal



> Which of these has the highest V?

NaSn2Au